CoSbCl2, relaxed, DFT PBE-GGA; energy relative to the lowest polymorph listed for this composition = 285 meV per atom; raw total energy = -3.70 eV per atom; volume = 103 Å³/f.u.
1.0
3.046 0.000 0.000
0.000 3.046 0.000
0.000 0.000 11.050
Cl Sb Co
2 1 1
Cartesian
0.000 0.000 4.250 Cl
0.000 0.000 1.275 Cl
1.523 1.523 8.288 Sb
1.523 1.523 2.763 Co